Entry 1:
Y3SbPb: relaxed, PBEsol.

Structure (extended XYZ):
```
5
Lattice="5.568 0.000 0.000 0.000 5.568 0.000 0.000 0.000 5.568" Properties=species:S:1:pos:R:3 pbc="T T T"
Y 0.000 0.000 2.784
Y 0.000 2.784 0.000
Y 2.784 0.000 0.000
Sb 0.000 0.000 0.000
Pb 2.784 2.784 2.784
```

Summary:
Fermi-level density of states = 0.714 states/eV per atom
calculated density = 5.73 g cm⁻³
calculated volume = 173 Å³/f.u.
magnetization = 0.00 μB/atom
energy above the lowest structure with this stoichiometry = 0 meV/atom
electronic total energy = -5.978 eV/atom



Entry 2:
SrCaY2: relaxed, PBEsol.

Structure (extended XYZ):
```
4
Lattice="3.734 0.000 0.000 0.000 3.734 0.000 0.000 0.000 10.625" Properties=species:S:1:pos:R:3 pbc="T T T"
Sr 0.000 0.000 0.000
Ca 1.867 1.867 7.534
Y 0.000 0.000 4.973
Y 1.867 1.867 2.801
```

Summary:
Fermi-level density of states = 1.369 states/eV per atom
calculated density = 3.42 g cm⁻³
calculated volume = 148 Å³/f.u.
DFT formation energy = 0.3 eV per formula unit
magnetization = 0.00 μB/atom
energy above the lowest structure with this stoichiometry = 0 meV/atom
electronic total energy = -4.317 eV/atom



Entry 3:
LiZnCu2: relaxed, PBEsol.

Structure (extended XYZ):
```
4
Lattice="2.618 -3.503 0.000 2.618 3.503 0.000 0.000 0.000 2.628" Properties=species:S:1:pos:R:3 pbc="T T T"
Li 0.000 0.000 0.000
Zn 2.618 0.000 0.000
Cu 1.309 1.752 1.314
Cu 1.309 -1.752 1.314
```

Summary:
Fermi-level density of states = 0.280 states/eV per atom
calculated density = 6.87 g cm⁻³
calculated volume = 48 Å³/f.u.
DFT formation energy = -0.3 eV per formula unit
magnetization = 0.00 μB/atom
electronic total energy = -3.128 eV/atom



Entry 4:
ZnFeCl2: relaxed, PBEsol.

Structure (extended XYZ):
```
4
Lattice="-1.594 1.989 6.294 1.594 -1.989 6.294 1.594 1.989 -6.294" Properties=species:S:1:pos:R:3 pbc="T T T"
Zn 0.000 0.000 0.000
Fe 0.000 0.000 6.294
Cl 1.594 0.000 4.517
Cl 0.000 1.989 1.777
```

Summary:
Fermi-level density of states = 0.644 states/eV per atom
calculated density = 4.00 g cm⁻³
calculated volume = 80 Å³/f.u.
magnetization = 0.71 μB/atom
energy above the lowest structure with this stoichiometry = 0 meV/atom
electronic total energy = -3.844 eV/atom



Entry 5:
YGa2Fe2: relaxed, PBEsol.

Structure (extended XYZ):
```
5
Lattice="-1.884 1.884 5.568 1.884 -1.884 5.568 1.884 1.884 -5.568" Properties=species:S:1:pos:R:3 pbc="T T T"
Y 0.000 0.000 0.000
Ga 0.000 0.000 4.292
Ga 0.000 0.000 6.845
Fe 1.884 0.000 2.784
Fe 0.000 1.884 2.784
```

Summary:
Fermi-level density of states = 0.466 states/eV per atom
calculated density = 7.14 g cm⁻³
calculated volume = 79 Å³/f.u.
DFT formation energy = -1.7 eV per formula unit
magnetization = 0.74 μB/atom
electronic total energy = -6.621 eV/atom



Entry 6:
NaGe3I: relaxed, PBEsol.

Structure (extended XYZ):
```
5
Lattice="5.131 0.000 0.000 0.000 5.131 0.000 0.000 0.000 5.131" Properties=species:S:1:pos:R:3 pbc="T T T"
Na 0.000 0.000 0.000
Ge 0.000 0.000 2.566
Ge 0.000 2.566 0.000
Ge 2.566 0.000 0.000
I 2.566 2.566 2.566
```

Summary:
Fermi-level density of states = 0.703 states/eV per atom
calculated density = 4.52 g cm⁻³
calculated volume = 135 Å³/f.u.
magnetization = 0.00 μB/atom
electronic total energy = -2.618 eV/atom



Entry 7:
MnNiHg2: relaxed, PBEsol.

Structure (extended XYZ):
```
4
Lattice="4.371 0.000 0.000 0.000 4.371 0.000 0.000 0.000 3.339" Properties=species:S:1:pos:R:3 pbc="T T T"
Mn 0.000 0.000 0.000
Ni 2.186 2.186 0.000
Hg 0.000 2.186 1.670
Hg 2.186 0.000 1.670
```

Summary:
Fermi-level density of states = 0.755 states/eV per atom
calculated density = 13.40 g cm⁻³
calculated volume = 64 Å³/f.u.
DFT formation energy = 1.2 eV per formula unit
magnetization = 0.97 μB/atom
energy above the lowest structure with this stoichiometry = 0 meV/atom
electronic total energy = -3.972 eV/atom



Entry 8:
K2BeZn: relaxed, PBEsol.

Structure (extended XYZ):
```
4
Lattice="3.396 0.000 0.000 0.000 3.396 0.000 0.000 0.000 10.002" Properties=species:S:1:pos:R:3 pbc="T T T"
K 0.000 0.000 0.000
K 1.698 1.698 4.106
Be 1.698 1.698 7.275
Zn 0.000 0.000 6.809
```

Summary:
Fermi-level density of states = 0.546 states/eV per atom
calculated density = 2.20 g cm⁻³
calculated volume = 115 Å³/f.u.
DFT formation energy = 1.9 eV per formula unit
magnetization = 0.00 μB/atom
electronic total energy = -1.485 eV/atom